*i*
A geometry-optimized Ho4Er5 structure. Source: Alexandria, functional PBE.

Cell and atoms, written as POSCAR:
```
Ho4Er5
1.0
-0.703 0.266 -3.489
-8.738 -2.005 -0.218
-1.669 8.772 -0.821
Er Ho
5 4
Direct
0.707 0.960 0.626
0.293 0.374 0.040
0.000 0.041 0.959
0.000 0.667 0.333
0.000 0.293 0.707
0.644 0.712 0.000
0.644 0.333 0.379
0.356 0.000 0.288
0.356 0.621 0.667
```

Results
D(E_F): 12.67 states/eV/f.u.
Magnetic moment: 0.001 μB/cell

---

*ii*
A geometry-optimized Ho4Er5 structure. Source: Alexandria, functional PBE.

Cell and atoms, written as POSCAR:
```
Ho4Er5
1.0
-2.979 3.325 -2.155
-5.068 -2.369 -2.352
-4.753 4.699 8.118
Ho Er
4 5
Direct
0.444 0.889 0.222
0.556 0.111 0.778
0.333 0.667 0.667
0.667 0.333 0.333
0.000 0.000 0.000
0.778 0.555 0.889
0.111 0.222 0.556
0.222 0.445 0.111
0.889 0.778 0.444
```

Results
D(E_F): 12.51 states/eV/f.u.
Magnetic moment: 0.000 μB/cell

---

Stability summary - winner: *ii*; margin: 18 meV per atom.

---

*i*
A geometry-optimized Ho7Er3 structure. Source: Alexandria, functional PBE.

Cell and atoms, written as POSCAR:
```
Ho7Er3
1.0
4.767 0.000 -1.342
-0.433 6.851 -1.538
0.038 0.283 9.273
Ho Er
7 3
Direct
0.200 0.100 0.400
0.800 0.900 0.600
0.400 0.700 0.800
0.600 0.800 0.200
0.600 0.300 0.200
0.400 0.200 0.800
0.000 0.500 0.000
0.200 0.600 0.400
0.000 0.000 0.000
0.800 0.400 0.600
```

Results
D(E_F): 12.04 states/eV/f.u.
Magnetic moment: 0.000 μB/cell

---

*ii*
A geometry-optimized Ho7Er3 structure. Source: Alexandria, functional PBE.

Cell and atoms, written as POSCAR:
```
Ho7Er3
1.0
-0.811 -5.012 3.717
6.937 4.110 7.056
-10.438 2.281 0.799
Ho Er
14 6
Direct
0.723 0.529 0.059
0.004 0.667 0.333
0.223 0.059 0.529
0.380 0.762 0.881
0.723 0.529 0.471
0.380 0.119 0.238
0.880 0.238 0.119
0.504 0.333 0.667
0.380 0.119 0.881
0.223 0.471 0.529
0.880 0.881 0.119
0.223 0.471 0.941
0.723 0.941 0.471
0.880 0.881 0.762
0.866 0.210 0.421
0.366 0.790 0.210
0.866 0.579 0.790
0.366 0.790 0.579
0.366 0.421 0.210
0.866 0.210 0.790
```

Results
D(E_F): 18.99 states/eV/f.u.
Magnetic moment: 0.574 μB/cell

---

Stability summary - winner: *i*; margin: 185 meV per atom.

---

*i*
A geometry-optimized Ho2Er13 structure. Source: Alexandria, functional PBE.

Cell and atoms, written as POSCAR:
```
Ho2Er13
1.0
6.485 -0.215 0.489
-1.136 8.523 0.509
0.165 -3.644 8.077
Er Ho
13 2
Direct
0.466 0.803 0.934
0.430 0.577 0.359
0.762 0.576 0.024
0.238 0.424 0.976
0.666 0.999 0.333
0.866 0.196 0.733
0.534 0.197 0.066
0.334 0.001 0.667
0.904 0.426 0.308
0.570 0.423 0.641
0.000 0.000 0.000
0.134 0.804 0.267
0.096 0.574 0.692
0.198 0.196 0.398
0.802 0.804 0.602
```

Results
D(E_F): 30.60 states/eV/f.u.
Magnetic moment: 0.004 μB/cell

---

*ii*
A geometry-optimized Ho2Er13 structure. Source: Alexandria, functional PBE.

Cell and atoms, written as POSCAR:
```
Ho2Er13
1.0
-5.158 0.340 7.062
-7.806 -3.956 -0.088
-1.012 -7.796 5.059
Er Ho
13 2
Direct
0.391 0.759 0.091
0.241 0.241 0.909
0.348 0.987 0.677
0.500 0.500 0.500
0.013 0.652 0.323
0.987 0.987 0.677
0.652 0.013 0.323
0.241 0.609 0.909
0.759 0.759 0.091
0.609 0.241 0.909
0.987 0.348 0.677
0.013 0.013 0.323
0.759 0.391 0.091
0.242 0.242 0.274
0.758 0.758 0.726
```

Results
D(E_F): 18.84 states/eV/f.u.
Magnetic moment: 0.001 μB/cell

---

Stability summary - winner: *i*; margin: 554 meV per atom.

---

*i*
A geometry-optimized Ho2ErI structure. Source: Alexandria, functional PBE.

Cell and atoms, written as POSCAR:
```
Ho2ErI
1.0
3.703 0.000 0.000
1.851 3.207 0.000
1.851 1.069 10.385
Er Ho I
1 2 1
Direct
0.667 0.667 0.999
0.244 0.244 0.267
0.089 0.089 0.734
0.500 0.500 0.501
```

Results
D(E_F): 5.09 states/eV/f.u.
Magnetic moment: 0.017 μB/cell

---

*ii*
A geometry-optimized Ho2ErI structure. Source: Alexandria, functional PBE.

Cell and atoms, written as POSCAR:
```
Ho2ErI
1.0
-2.090 1.454 2.565
-2.823 -1.896 -1.225
2.223 -7.065 5.815
Ho I Er
2 1 1
Direct
0.000 0.000 0.753
0.000 0.000 0.247
0.500 0.500 0.000
0.500 0.500 0.500
```

Results
D(E_F): 4.65 states/eV/f.u.
Magnetic moment: 0.000 μB/cell

---

*iii*
A geometry-optimized Ho2ErI structure. Source: Alexandria, functional PBE.

Cell and atoms, written as POSCAR:
```
Ho2ErI
1.0
3.715 0.000 0.000
1.858 3.218 0.000
1.858 1.073 10.392
I Ho Er
1 2 1
Direct
0.000 0.000 0.000
0.746 0.746 0.762
0.254 0.254 0.238
0.500 0.500 0.500
```

Results
D(E_F): 4.89 states/eV/f.u.
Magnetic moment: 0.017 μB/cell

---

Stability summary - winner: *i*; margin: 29 meV per atom.